The following is a DFT calculation (GGA-PBE) of an optimized crystal structure of YErF.

Calculated values
size of the total moment	0.00	μB per formula unit
space group	C2/m (12)
energy relative to the lowest polymorph listed for this composition	0.000	eV per atom
formation energy without anion corrections	-4.66	eV/f.u.
electronic total energy	-35.1	eV per cell

Cell: 6.8304 6.8304 7.1162 Å, 121.03 121.03 29.71°
Fractional positions:
Y1 0.2334 0.2334 0.2627
Y2 0.7666 0.7666 0.7373
Er1 0.4946 0.4946 0.2217
Er2 0.5054 0.5054 0.7783
F1 0.1546 0.1546 0.8716
F2 0.8454 0.8454 0.1284